[1]
The following is a PBE calculation of a relaxed structure of Pr3DyHo6, from Alexandria via LeMat-Bulk.

Summary:
- energy above the most stable polymorph in this dataset (eV/atom) = 0.0775
- M_tot (μB/f.u.) = 0.00
- ΔH_f (0 K) (eV per atom) = 0.23
- total energy (eV/atom) = -4.4132

Unit cell a=11.5723 b=6.5797 c=9.7484 alpha=90.00 beta=115.11 gamma=90.00
Last column: nearest neighbours and their distance in Å.
Space group C2/m (No. 12)
Inequivalent atoms, fractional coordinates:
Pr 0.0000 0.0000 0.0000 [2 per cell]  4 Ho 3.34, 2 Pr 3.36
Pr 0.0713 0.0000 0.6998 [4 per cell]  4 Ho 3.29-3.37, 2 Pr 3.36-3.53
Dy 0.0000 0.5000 0.5000 [2 per cell]  10 Ho 3.70-3.72, 4 Pr 3.73
Ho 0.1353 0.5000 0.9209 [4 per cell]  1 Dy 3.72, 9 Ho 3.80-4.10, 6 Pr 3.81-3.96
Ho 0.1857 0.2541 0.3132 [8 per cell]  3 Ho 3.24-3.34, 3 Pr 3.29-3.37

[2]
The following is a PBE calculation of a relaxed structure of Pr6Dy3Ho2, from Alexandria via LeMat-Bulk.

Summary:
- energy above the most stable polymorph in this dataset (eV/atom) = 0.0000
- M_tot (μB/f.u.) = 0.00
- ΔH_f (0 K) (eV per atom) = 0.08
- total energy (eV/atom) = -4.6155

Unit cell a=6.1660 b=6.8150 c=9.9172 alpha=89.08 beta=88.82 gamma=64.69
Last column: nearest neighbours and their distance in Å.
Space group P-1 (No. 2)
Inequivalent atoms, fractional coordinates:
Pr 0.0965 0.3912 0.3189 [2 per cell]  4 Dy 3.43-3.84, 2 Ho 3.51-3.61, 4 Pr 3.53-3.78
Pr 0.2100 0.2270 0.9525 [2 per cell]  4 Dy 3.57-3.64, 7 Pr 3.58-3.78, 1 Ho 3.66
Pr 0.2497 0.8496 0.2259 [2 per cell]  2 Ho 3.40-3.77, 3 Dy 3.50-3.71, 5 Pr 3.53-3.73
Dy 0.3453 0.6791 0.8675 [2 per cell]  1 Ho 3.50, 9 Pr 3.52-3.82, 2 Dy 3.54-3.83
Dy 0.5000 0.5000 0.5000 [1 per cell]  6 Pr 3.43-3.84, 2 Ho 3.53, 2 Dy 3.83
Ho 0.2707 0.0463 0.6026 [2 per cell]  1 Ho 3.29, 4 Pr 3.40-3.66, 2 Dy 3.50-3.53

[3]
The following is a PBE calculation of a relaxed structure of Pr3Dy5Ho4, from Alexandria via LeMat-Bulk.

Summary:
- energy above the most stable polymorph in this dataset (eV/atom) = 0.0000
- M_tot (μB/f.u.) = 0.00
- ΔH_f (0 K) (eV per atom) = 0.02
- total energy (eV/atom) = -4.6195

Unit cell a=6.1971 b=7.1549 c=8.7608 alpha=89.99 beta=89.85 gamma=89.81
Last column: nearest neighbours and their distance in Å.
Space group P-1 (No. 2)
Inequivalent atoms, fractional coordinates:
Pr 0.0000 0.0000 0.0000 [1 per cell]  8 Dy 3.57-3.60, 2 Ho 3.59, 2 Pr 3.59
Pr 0.1662 0.2511 0.3345 [2 per cell]  6 Ho 3.56-3.60, 5 Dy 3.57-3.60, 1 Pr 3.59
Dy 0.0000 0.5000 0.0000 [1 per cell]  4 Ho 3.57-3.58, 4 Dy 3.57, 4 Pr 3.58
Dy 0.3354 0.0002 0.6670 [2 per cell]  3 Dy 3.56-3.58, 5 Ho 3.56-3.60, 4 Pr 3.57-3.60
Dy 0.4986 0.7482 0.0002 [2 per cell]  6 Dy 3.55-3.60, 3 Ho 3.56-3.57, 3 Pr 3.57-3.60
Ho 0.1689 0.7485 0.3334 [2 per cell]  3 Ho 3.55-3.59, 5 Dy 3.56-3.60, 4 Pr 3.56-3.60
Ho 0.3338 0.4998 0.6675 [2 per cell]  4 Ho 3.55-3.59, 5 Dy 3.56-3.58, 3 Pr 3.57-3.58

[4]
The following is a PBE calculation of a relaxed structure of PrDy7Ho2, from Alexandria via LeMat-Bulk.

Summary:
- energy above the most stable polymorph in this dataset (eV/atom) = 0.0000
- M_tot (μB/f.u.) = 0.00
- ΔH_f (0 K) (eV per atom) = 0.02
- total energy (eV/atom) = -4.5962

Unit cell a=6.1492 b=7.1169 c=7.9418 alpha=77.11 beta=75.02 gamma=73.35
Last column: nearest neighbours and their distance in Å.
Space group P-1 (No. 2)
Inequivalent atoms, fractional coordinates:
Pr 0.0000 0.0000 0.0000 [1 per cell]  10 Dy 3.55-3.57, 2 Ho 3.56
Dy 0.0000 0.5000 0.0000 [1 per cell]  8 Dy 3.55-3.56, 2 Ho 3.56, 2 Pr 3.56
Dy 0.2006 0.7992 0.5990 [2 per cell]  7 Dy 3.54-3.56, 4 Ho 3.54-3.57, 1 Pr 3.56
Dy 0.4000 0.1002 0.2015 [2 per cell]  2 Ho 3.54-3.56, 8 Dy 3.54-3.58, 2 Pr 3.55-3.56
Dy 0.4013 0.5985 0.2015 [2 per cell]  3 Ho 3.53-3.56, 8 Dy 3.54-3.57, 1 Pr 3.57
Ho 0.1997 0.3012 0.5991 [2 per cell]  10 Dy 3.53-3.57, 1 Ho 3.54, 1 Pr 3.56